A relaxed structure of Na2CrH2F8, computed with PBE+U.

Values from the calculation:
Energy   -61.96 eV per cell
Symmetry   C2/m

a b c (Å): 5.533 5.533 5.471
angles (deg): 73.83 73.83 94.96
Fractional coordinates of all 13 atoms:
F  0.144  0.144  0.220
F  0.002  0.683  0.223
F  0.317  0.998  0.777
F  0.451  0.451  0.274
Na  0.732  0.268  0.500
Na  0.268  0.732  0.500
Cr  0.000  0.000  0.000
F  0.856  0.856  0.780
F  0.683  0.002  0.223
H  0.663  0.663  0.774
F  0.549  0.549  0.726
F  0.998  0.317  0.777
H  0.337  0.337  0.226